Density functional theory data (PBE-GGA) for a relaxed structure of Cs2Hg6PbAu.

V: 376.99 Å³ per cell
DFT formation energy: -157 meV/atom

abc: 7.9536 8.2913 7.7482
angles: 64.45 58.77 90.11
Fractional positions:
Cs: 0.2173 0.6509 0.5671
Au: 0.0000 0.0000 0.0000
Pb: 0.5000 0.5000 0.0000
Cs: 0.7827 0.3491 0.4329
Hg: 0.7613 0.8340 0.9182
Hg: 0.3197 0.8326 0.9209
Hg: 0.6803 0.1674 0.0791
Hg: 0.2446 0.1766 0.5109
Hg: 0.7554 0.8234 0.4891
Hg: 0.2387 0.1660 0.0818